[1]
TlSbPb2 | PBE-GGA | relaxed

Properties
Crystal system: orthorhombic
Relative energy among the computed polymorphs, meV per atom: 8
Energy relative to the elements, uncorrected, eV/f.u.: 0.08
SG: Imm2 (44)
M_tot, Bohr magnetons per cell: 0.00
Density of states at the Fermi level, states/eV per cell: 1.55

Cell and atoms, written as POSCAR:
```
TlSbPb2
1.0
6.368 0.002 -0.007
2.667 5.782 0.007
-4.245 -3.317 3.395
Pb Tl Sb
2 1 1
direct
0.725 0.225 0.500
0.002 0.002 0.000
0.263 0.763 0.500
0.510 0.510 0.000
```

***

[2]
Y2HRuPt | PBE-GGA | relaxed

Properties
Crystal system: tetragonal
DFT total energy, eV per atom: -7.048
SG: P4/mmm (123)
M_tot, Bohr magnetons per cell: 0.00
Density of states at the Fermi level, states/eV per cell: 2.69

Cell and atoms, written as POSCAR:
```
Y2HRuPt
1.0
4.846 0.000 0.000
0.000 4.846 0.000
0.000 0.000 3.636
Y Pt H Ru
2 1 1 1
direct
0.000 0.500 0.000
0.500 0.000 0.000
0.500 0.500 0.500
0.000 0.000 0.000
0.000 0.000 0.500
```

***

[3]
PmSm10Er6 | PBE-GGA | relaxed

Properties
Crystal system: trigonal
Formation enthalpy at 0 K, eV per atom: 0.13
SG: P-31m (162)
M_tot, Bohr magnetons per cell: 0.00
Density of states at the Fermi level, states/eV per cell: 25.18

Cell and atoms, written as POSCAR:
```
PmSm10Er6
1.0
-1.012 -5.502 3.961
-5.458 -4.041 -7.007
9.622 -1.607 0.226
Er Sm Pm
6 10 1
direct
0.691 0.628 0.000
0.691 0.000 0.628
0.691 0.372 0.372
0.309 0.000 0.372
0.309 0.372 0.000
0.309 0.628 0.628
0.818 0.277 0.000
0.000 0.667 0.333
0.818 0.000 0.277
0.182 0.723 0.000
0.182 0.277 0.277
0.500 0.333 0.667
0.818 0.723 0.723
0.182 0.000 0.723
0.500 0.667 0.333
0.000 0.333 0.667
0.500 0.000 0.000
```

***

[4]
Ac3ZnCu2Pd9 | PBE-GGA | relaxed

Properties
Crystal system: trigonal
Formation enthalpy at 0 K, eV per atom: -0.40
SG: P-3m1 (164)
M_tot, Bohr magnetons per cell: 0.00
Density of states at the Fermi level, states/eV per cell: 5.58

Cell and atoms, written as POSCAR:
```
Ac3ZnCu2Pd9
1.0
7.484 0.000 0.000
-3.742 6.481 0.000
0.000 0.000 6.645
Cu Pd Ac Zn
2 9 3 1
direct
0.333 0.667 0.165
0.667 0.333 0.835
0.167 0.333 0.332
0.833 0.667 0.668
0.333 0.167 0.668
0.500 0.000 0.000
0.833 0.167 0.668
0.000 0.500 0.000
0.500 0.500 0.000
0.667 0.833 0.332
0.167 0.833 0.332
0.333 0.667 0.669
0.000 0.000 0.000
0.667 0.333 0.331
0.000 0.000 0.500
```

***

[5]
Ba8P3H4N | PBE-GGA | relaxed

Properties
Crystal system: monoclinic
DFT total energy, eV per atom: -4.005
SG: C2/m (12)
M_tot, Bohr magnetons per cell: 0.00

Cell and atoms, written as POSCAR:
```
Ba8P3H4N
1.0
-5.414 3.082 6.424
-6.696 -0.182 -5.555
4.968 -7.297 1.456
P N H Ba
3 1 4 8
direct
0.500 0.500 0.000
0.000 0.500 0.500
0.500 0.500 0.500
0.000 0.500 0.000
0.000 0.000 0.000
0.500 0.000 0.000
0.000 0.000 0.500
0.500 0.000 0.500
0.231 0.266 0.999
0.769 0.734 0.001
0.767 0.265 0.533
0.232 0.734 0.001
0.768 0.266 0.999
0.251 0.252 0.501
0.749 0.748 0.499
0.233 0.735 0.467
```

***

[6]
Ti2IrOs2 | PBE-GGA | relaxed

Properties
Crystal system: triclinic
Relative energy among the computed polymorphs, meV per atom: 91
Formation enthalpy at 0 K, eV per atom: -0.47
SG: P1 (1)
M_tot, Bohr magnetons per cell: 0.00
Density of states at the Fermi level, states/eV per cell: 8.40

Cell and atoms, written as POSCAR:
```
Ti2IrOs2
1.0
-1.067 0.100 4.400
-0.314 -5.328 0.619
5.468 -1.509 3.427
Ti Ir Os
4 2 4
direct
0.606 0.045 0.410
0.231 0.438 0.179
0.067 0.606 0.601
0.818 0.822 0.000
0.000 0.103 0.614
0.803 0.302 0.005
0.458 0.741 0.791
0.663 0.548 0.393
0.217 0.929 0.200
0.397 0.257 0.786
```

***

What did we get for theoretical density? Answer: 9.8 9.2 7.8 9.4 4.1 14.9 Mg/m³, in the order shown.